Compound: ZrNi3N
Source: Alexandria via LeMat-Bulk
Functional: PBE
Structure: relaxed Values from VASP.

Structure (Quantum ESPRESSO input):
```
&SYSTEM
  ibrav = 0, nat = 5, ntyp = 3
/
ATOMIC_SPECIES
Zr 91.22 Zr.upf
Ni 58.69 Ni.upf
N 14.01 N.upf
ATOMIC_POSITIONS crystal
Zr 0.000 0.000 0.000
Ni 0.000 0.000 0.500
Ni 0.000 0.500 0.000
Ni 0.500 0.000 0.000
N 0.500 0.500 0.500
CELL_PARAMETERS angstrom
4.629 0.000 0.000
0.000 4.629 0.000
0.000 0.000 4.629
```

formation energy from raw total energies = 222.6 kJ per mole of atoms
offset from the most stable computed form = 2432 meV/atom
magnetization = 1.790 Bohr magnetons per cell